Entry 1:
Below is a geometry-optimized YTaN2O structure, with properties calculated at the PBE level.

Lattice parameters (Å, degrees): 5.5062 9.7430 9.7442 71.87 90.00 90.00
Last column: nearest neighbours and their distance in Å.
Atoms (fractional coordinates):
Y 0.0000 0.0000 0.0000  2 O 2.32-2.35, 4 N 2.35-2.56
Y 0.0010 0.4994 0.5035  4 N 2.33-2.55, 2 O 2.41-2.49
Y 0.4626 0.2557 0.7431  2 O 2.27, 2 N 2.37-2.45
Y 0.4704 0.7601 0.2457  1 O 2.24, 3 N 2.38-2.48
Y 0.4955 0.0636 0.4369  4 N 2.32-2.56, 2 O 2.37-2.50
Y 0.5048 0.5656 0.9360  2 O 2.32-2.39, 4 N 2.36-2.55
Y 0.9639 0.3094 0.1932  3 O 2.26-2.53, 2 N 2.38-2.46
Y 0.9691 0.8058 0.6969  1 O 2.24, 3 N 2.36-2.47
Ta 0.0027 0.4158 0.8453  4 N 1.93-2.10, 1 O 2.15
Ta 0.0027 0.6516 0.0961  5 N 1.97-2.18
Ta 0.4644 0.1513 0.0896  3 N 1.97-2.00, 3 O 2.11-2.19
Ta 0.4941 0.4221 0.3342  4 N 1.93-2.07, 1 O 2.12
Ta 0.5007 0.6581 0.5871  5 N 1.97-2.18
Ta 0.5014 0.9083 0.8527  4 N 1.93-2.09, 1 O 2.14
Ta 0.9614 0.1519 0.5869  3 N 1.97-2.00, 3 O 2.11-2.18
Ta 0.9934 0.8977 0.3587  4 N 1.93-2.07, 1 O 2.11
N 0.0829 0.0162 0.4893  2 Ta 1.97-2.03
N 0.0858 0.5172 0.9877  2 Ta 1.97-1.99
N 0.1731 0.5365 0.2761  2 Ta 2.00-2.07
N 0.1735 0.7294 0.4676  2 Ta 1.93-2.14
N 0.1764 0.2308 0.9686  2 Ta 1.98-2.06
N 0.2723 0.7922 0.0198  2 Ta 2.00-2.09
N 0.2740 0.9852 0.2167  2 Ta 2.00-2.07
N 0.2769 0.4818 0.7189  1 Ta 1.93
N 0.5833 0.5489 0.4539  2 Ta 1.97-2.01
N 0.5854 0.0540 0.9533  2 Ta 1.97-2.01
N 0.6724 0.8388 0.4715  2 Ta 2.01-2.07
N 0.6732 0.0316 0.6672  2 Ta 1.98-2.06
N 0.6751 0.5312 0.1665  2 Ta 1.93-2.14
N 0.7732 0.2792 0.4205  2 Ta 2.00-2.07
N 0.7735 0.5826 0.7273  2 Ta 2.01-2.10
N 0.7758 0.7823 0.9202  1 Ta 1.93
O 0.1745 0.0450 0.7738  2 Ta 2.14-2.23, 1 Y 2.32
O 0.2692 0.2875 0.5293  2 Ta 2.11-2.31, 1 Y 2.27
O 0.3631 0.2647 0.2436  2 Ta 2.12-2.19, 2 Y 2.26-2.37
O 0.3666 0.7671 0.7407  2 Ta 2.14-2.21, 2 Y 2.24-2.39
O 0.6756 0.3373 0.9846  2 Ta 2.13-2.24, 1 Y 2.32
O 0.7699 0.0929 0.2256  2 Ta 2.11-2.30, 1 Y 2.30
O 0.8650 0.3006 0.7060  2 Ta 2.15-2.18, 1 Y 2.27
O 0.8648 0.8095 0.2000  2 Ta 2.11-2.22, 2 Y 2.24-2.35

---

Entry 2:
Below is a geometry-optimized YTaNO structure, with properties calculated at the PBE level.

Lattice parameters (Å, degrees): 6.2639 7.5449 5.1039 90.00 90.00 90.00
Last column: nearest neighbours and their distance in Å.
Atoms (fractional coordinates):
Y 0.0632 0.1385 0.0000  3 N 2.28-2.53, 1 O 2.49
Y 0.4368 0.1385 0.5000  3 N 2.28-2.53, 1 O 2.49
Y 0.5632 0.8615 0.0000  3 N 2.28-2.53, 1 O 2.49
Y 0.9368 0.8615 0.5000  3 N 2.28-2.53, 1 O 2.49
Ta 0.1286 0.6591 0.0015  1 N 1.93, 2 O 2.09-2.13
Ta 0.3714 0.6591 0.5015  1 N 1.93, 2 O 2.09-2.13
Ta 0.6286 0.3409 0.0015  1 N 1.93, 2 O 2.09-2.13
Ta 0.8714 0.3409 0.5015  1 N 1.93, 2 O 2.09-2.13
N 0.0728 0.1477 0.5043  1 Ta 1.93
N 0.4272 0.1477 0.0043  1 Ta 1.93
N 0.5728 0.8523 0.5043  1 Ta 1.93
N 0.9272 0.8523 0.0043  1 Ta 1.93
O 0.0558 0.5571 0.6229  3 Ta 2.09-2.21
O 0.4442 0.5571 0.1229  3 Ta 2.09-2.21
O 0.5558 0.4429 0.6229  3 Ta 2.09-2.21
O 0.9442 0.4429 0.1229  3 Ta 2.09-2.21

---

Entry 3:
Below is a geometry-optimized YTaN2O structure, with properties calculated at the PBE level.

Lattice parameters (Å, degrees): 6.1953 6.1953 12.3778 90.00 90.00 120.00
Last column: nearest neighbours and their distance in Å.
Atoms (fractional coordinates):
Y 0.0000 0.0000 0.0000  6 N 2.38
Y 0.0000 0.0000 0.5000  6 N 2.38
Y 0.3333 0.6667 0.4719  6 N 2.36-2.38
Y 0.3333 0.6667 0.9719  6 N 2.36-2.38
Y 0.6667 0.3333 0.4719  6 N 2.36-2.38
Y 0.6667 0.3333 0.9719  6 N 2.36-2.38
Ta 0.0000 0.3337 0.2322  2 N 1.94-1.95, 3 O 2.07-2.08
Ta 0.0000 0.6663 0.7322  2 N 1.94-1.95, 3 O 2.07-2.08
Ta 0.3337 0.0000 0.2322  2 N 1.94-1.95, 3 O 2.07-2.08
Ta 0.3337 0.3337 0.7322  2 N 1.94-1.95, 3 O 2.07-2.08
Ta 0.6663 0.0000 0.7322  2 N 1.94-1.95, 3 O 2.07-2.08
Ta 0.6663 0.6663 0.2322  2 N 1.94-1.95, 3 O 2.07-2.08
N 0.0000 0.3132 0.3893  1 Ta 1.95
N 0.0000 0.3537 0.0755  1 Ta 1.94
N 0.0000 0.6463 0.5755  1 Ta 1.94
N 0.0000 0.6868 0.8893  1 Ta 1.95
N 0.3132 0.0000 0.3893  1 Ta 1.95
N 0.3132 0.3132 0.8893  1 Ta 1.95
N 0.3537 0.0000 0.0755  1 Ta 1.94
N 0.3537 0.3537 0.5755  1 Ta 1.94
N 0.6463 0.0000 0.5755  1 Ta 1.94
N 0.6463 0.6463 0.0755  1 Ta 1.94
N 0.6868 0.0000 0.8893  1 Ta 1.95
N 0.6868 0.6868 0.3893  1 Ta 1.95
O 0.0000 0.0000 0.2152  3 Ta 2.08
O 0.0000 0.0000 0.7152  3 Ta 2.08
O 0.3333 0.6667 0.2422  3 Ta 2.07
O 0.3333 0.6667 0.7422  3 Ta 2.07
O 0.6667 0.3333 0.2422  3 Ta 2.07
O 0.6667 0.3333 0.7422  3 Ta 2.07

---

Entry 4:
Below is a geometry-optimized YTaN2O structure, with properties calculated at the PBE level.

Lattice parameters (Å, degrees): 5.4468 5.5260 5.9140 91.62 116.34 119.22
Last column: nearest neighbours and their distance in Å.
Atoms (fractional coordinates):
Y 0.0000 0.0000 0.0000  1 O 2.26, 4 N 2.26-2.40
Y 0.4539 0.7246 0.1876  2 O 2.23-2.42, 3 N 2.31-2.39
Ta 0.0522 0.5475 0.5362  3 N 1.91-2.05, 1 O 2.13
Ta 0.4539 0.2254 0.6524  3 N 1.95-2.15, 2 O 1.97-2.16
N 0.2122 0.3869 0.3689  2 Ta 2.00-2.15
N 0.4928 0.9185 0.8186  2 Ta 2.04-2.05, 1 Y 2.26
N 0.9121 0.5570 0.8288  1 Ta 1.95
N 0.9630 0.7919 0.3401  1 Ta 1.91
O 0.2864 0.3278 0.8481  1 Ta 1.97
O 0.5732 0.1571 0.3640  2 Ta 2.13-2.16, 1 Y 2.23

---

Entry 5:
Below is a geometry-optimized ZrTaNO structure, with properties calculated at the PBE level.

Lattice parameters (Å, degrees): 4.5712 4.5712 4.4369 90.00 90.00 90.00
Last column: nearest neighbours and their distance in Å.
Atoms (fractional coordinates):
Zr 0.2500 0.7500 0.0000  2 O 2.22, 4 N 2.29
Zr 0.7500 0.2500 0.0000  2 O 2.22, 4 N 2.29
Ta 0.2500 0.2500 0.4978  2 N 2.21-2.22, 4 O 2.29
Ta 0.7500 0.7500 0.5022  2 N 2.21-2.22, 4 O 2.29
N 0.2500 0.2500 0.9964  2 Ta 2.21-2.22, 4 Zr 2.29
N 0.7500 0.7500 0.0036  2 Ta 2.21-2.22, 4 Zr 2.29
O 0.2500 0.7500 0.5000  2 Zr 2.22, 4 Ta 2.29
O 0.7500 0.2500 0.5000  2 Zr 2.22, 4 Ta 2.29

---

Entry 6:
Below is a geometry-optimized ZrTaNO structure, with properties calculated at the PBE level.

Lattice parameters (Å, degrees): 6.0795 7.4181 4.8366 90.00 90.00 90.00
Last column: nearest neighbours and their distance in Å.
Atoms (fractional coordinates):
Zr 0.0652 0.1305 0.0000  3 N 2.16-2.37, 1 O 2.25
Zr 0.4348 0.1305 0.5000  3 N 2.16-2.37, 1 O 2.25
Zr 0.5652 0.8695 0.0000  3 N 2.16-2.37, 1 O 2.25
Zr 0.9348 0.8695 0.5000  3 N 2.16-2.37, 1 O 2.25
Ta 0.1373 0.6620 0.0174  1 N 1.99, 2 O 2.07-2.14
Ta 0.3627 0.6620 0.5174  1 N 1.99, 2 O 2.07-2.14
Ta 0.6373 0.3380 0.0174  1 N 1.99, 2 O 2.07-2.14
Ta 0.8627 0.3380 0.5174  1 N 1.99, 2 O 2.07-2.14
N 0.0806 0.1377 0.5108  1 Ta 1.99, 2 Zr 2.16-2.18
N 0.4194 0.1377 0.0108  1 Ta 1.99, 2 Zr 2.16-2.18
N 0.5806 0.8623 0.5108  1 Ta 1.99, 2 Zr 2.16-2.18
N 0.9194 0.8623 0.0108  1 Ta 1.99, 2 Zr 2.16-2.18
O 0.0002 0.4169 0.1288  2 Ta 2.07-2.14, 1 Zr 2.25
O 0.9998 0.5831 0.6288  2 Ta 2.07-2.14, 1 Zr 2.25
O 0.4998 0.4169 0.6288  2 Ta 2.07-2.14, 1 Zr 2.25
O 0.5002 0.5831 0.1288  2 Ta 2.07-2.14, 1 Zr 2.25

---

no.,electronic total energy (eV per cell)
1,-398.04
2,-151.16
3,-283.17
4,-98.73
5,-78.25
6,-158.44